An optimized crystal structure of AlBi2MoO6, computed with GGA+U.

Cell: 5.464 8.118 5.913 Å, 90.00 90.00 90.00°
Space group Pmmn (No. 59, origin choice 2)
Symmetry-distinct sites (fractional):
Al (0.250, 0.250, 0.241) x2
Bi (0.250, 0.550, 0.798) x4
Mo (0.250, 0.750, 0.276) x2
O (0.011, 0.750, 0.558) x4
O (0.014, 0.750, 0.984) x4
O (0.250, 0.012, 0.200) x4

Values from the calculation:
Final energy ... -6.491 eV per atom